The following is a DFT calculation (PBE-GGA) of crystalline TbHoHf2 at its relaxed geometry.

abc: 3.3089 3.3089 32.7704
angles: 90.00 90.00 120.00
Space group R-3m (No. 166, hexagonal axes)
Asymmetric unit:
Tb: 0.0000 0.0000 0.0000 (multiplicity 3)
Ho: 0.0000 0.0000 0.5000 (multiplicity 3)
Hf: 0.0000 0.0000 0.2497 (multiplicity 6)

Values from the calculation:
M_tot = 0.00 Bohr magnetons per cell
Electronic total energy = -7.09 eV/atom